Version P
VASP calculation (PBE) on an optimized crystal structure of TbPm2Mg.

Results
ρ = 6.34 g/cm3
N(E_F) = 1.37 states/eV/atom

a = 7.913 Å, b = 7.913 Å, c = 7.913 Å
α = 90.00°, β = 90.00°, γ = 90.00°
Space group Fm-3m (No. 225)
Symmetry-distinct sites (fractional):
Tb  0.000  0.000  0.000
Pm  0.250  0.250  0.250
Mg  0.000  0.000  0.500



Version Q
VASP calculation (PBE) on an optimized crystal structure of TbPm2Mg.

Results
ρ = 6.36 g/cm3
N(E_F) = 1.70 states/eV/atom

a = 5.011 Å, b = 5.011 Å, c = 4.921 Å
α = 90.00°, β = 90.00°, γ = 90.00°
Space group P4/mmm (No. 123)
Symmetry-distinct sites (fractional):
Tb  0.000  0.000  0.000
Pm  0.000  0.500  0.500
Mg  0.500  0.500  0.000



Version R
VASP calculation (PBE) on an optimized crystal structure of TbPm2Mg.

Results
ρ = 6.31 g/cm3
N(E_F) = 1.10 states/eV/atom

a = 3.711 Å, b = 3.711 Å, c = 9.039 Å
α = 90.00°, β = 90.00°, γ = 90.00°
Space group P4/mmm (No. 123)
Symmetry-distinct sites (fractional):
Tb  0.000  0.000  0.000
Pm  0.500  0.500  0.271
Mg  0.000  0.000  0.500



Relative stability in meV per atom, measured from the most stable structure: version P 67; version Q 41; version R 0



Version P
VASP calculation (PBE) on an optimized crystal structure of Tb5Pm4Mg2.

Results
ρ = 6.78 g/cm3
N(E_F) = 1.46 states/eV/atom

a = 8.749 Å, b = 3.464 Å, c = 11.525 Å
α = 90.00°, β = 93.95°, γ = 90.00°
Space group P2/m (No. 10)
Symmetry-distinct sites (fractional):
Tb  0.000  0.000  0.000
Tb  0.073  0.000  0.292
Tb  0.294  0.000  0.831
Pm  0.211  0.500  0.548
Pm  0.353  0.500  0.112
Mg  0.449  0.000  0.369



Version Q
VASP calculation (PBE) on an optimized crystal structure of Tb5Pm4Mg2.

Results
ρ = 6.62 g/cm3
N(E_F) = 1.38 states/eV/atom

a = 17.748 Å, b = 3.489 Å, c = 11.540 Å
α = 90.00°, β = 93.05°, γ = 90.00°
Space group C2/m (No. 12)
Symmetry-distinct sites (fractional):
Tb  0.000  0.000  0.000
Tb  0.175  0.500  0.079
Tb  0.212  0.500  0.383
Pm  0.023  0.500  0.277
Pm  0.143  0.000  0.811
Mg  0.090  0.000  0.531



Relative stability in meV per atom, measured from the most stable structure: version P 0; version Q 56



Version P
VASP calculation (PBE) on an optimized crystal structure of Tb8Pm2Mg.

Results
ρ = 7.40 g/cm3
N(E_F) = 1.40 states/eV/atom

a = 16.264 Å, b = 6.652 Å, c = 6.717 Å
α = 90.00°, β = 101.85°, γ = 90.00°
Space group C2/m (No. 12)
Symmetry-distinct sites (fractional):
Tb  0.081  0.239  0.386
Tb  0.095  0.000  0.918
Tb  0.245  0.500  0.312
Pm  0.186  0.500  0.792
Mg  0.000  0.500  0.000



Version Q
VASP calculation (PBE) on an optimized crystal structure of Tb8Pm2Mg.

Results
ρ = 7.35 g/cm3
N(E_F) = 1.72 states/eV/atom

a = 5.527 Å, b = 7.742 Å, c = 16.754 Å
α = 90.00°, β = 90.00°, γ = 90.00°
Space group Immm (No. 71)
Symmetry-distinct sites (fractional):
Tb  0.000  0.000  0.174
Tb  0.000  0.220  0.365
Tb  0.000  0.270  0.000
Pm  0.000  0.500  0.196
Mg  0.000  0.500  0.500



Relative stability in meV per atom, measured from the most stable structure: version P 31; version Q 0